Density functional theory data (SCAN) for a PBEsol-optimized structure of LiMgP2.

The calculation puts the total magnetization at 0.00 μB/atom. The volume comes out at 15.15 A^3/atom. The crystal system is orthorhombic. For the electronic total energy, the calculation gives -0.5379 Ry per atom.

a b c (Å): 2.9132 4.6548 4.6548
angles (deg): 106.25 90.02 90.02
Fractional coordinates of all 4 atoms:
Mg: 0.5000 0.0000 0.0000
P: 0.0000 0.0000 0.5000
P: 0.0000 0.5000 0.0000
Li: 0.5000 0.5000 0.5000

=====

Density functional theory data (SCAN) for a PBEsol-optimized structure of MnRh2W.

The calculation puts the total magnetization at 0.79 μB/atom. The volume comes out at 13.38 A^3/atom. The crystal system is tetragonal. As for the energy relative to the lowest polymorph listed for this composition: 0.07 eV/f.u.

a b c (Å): 3.7762 3.7762 4.6060
angles (deg): 114.20 114.20 90.00
Each line ends with the local moment (μB).
Fractional coordinates of all 4 atoms:
Rh: 0.2500 0.7500 0.5000  0.07
W: 0.5000 0.5000 0.0000  -0.35
Rh: 0.7500 0.2500 0.5000  0.07
Mn: 0.0000 0.0000 0.0000  3.36

=====

Density functional theory data (SCAN) for a PBEsol-optimized structure of ZrAg2Pb.

The calculation puts the total magnetization at 0.00 μB/atom. The volume comes out at 20.18 A^3/atom. The crystal system is orthorhombic. For the electronic total energy, the calculation gives -3.1128 Ry per atom.

a b c (Å): 3.0871 4.3770 6.1706
angles (deg): 90.00 104.49 90.00
Fractional coordinates of all 4 atoms:
Zr: 0.5579 0.5000 0.1158
Ag: 0.3225 0.5000 0.6450
Pb: 0.1739 0.0000 0.3478
Ag: 0.9182 0.0000 0.8365

=====

Density functional theory data (SCAN) for a PBEsol-optimized structure of TeOs2W.

The calculation puts the total magnetization at 0.00 μB/atom. The volume comes out at 16.07 A^3/atom. The crystal system is orthorhombic. The uncorrected formation energy comes out at 0.81 eV/atom.

a b c (Å): 2.9557 4.7154 4.7154
angles (deg): 101.96 90.00 90.00
Fractional coordinates of all 4 atoms:
Te: 0.5000 0.0000 0.0000
W: 0.5000 0.5000 0.5000
Os: 0.0000 0.0000 0.5000
Os: 0.0000 0.5000 0.0000